Record 1
Entry from Alexandria via LeMat-Bulk: crystalline HoSc2Ir9 at its relaxed geometry (PBE).

Lattice parameters (Å, degrees): 5.2411 5.2411 25.9838 90.00 90.00 120.00
Space group R-3m (No. 166, hexagonal axes)
One atom of each set of equivalent atoms:
Ho 0.0000 0.0000 0.0000 x3
Sc 0.0000 0.0000 0.1394 x6
Ir 0.0000 0.0000 0.3337 x6
Ir 0.0000 0.0000 0.5000 x3
Ir 0.0024 0.5012 0.9159 x18

Calculated values
ΔE_f in kJ per mole of atoms: -52
Total magnetization in μB/f.u.: 0.0
Total DFT energy (no corrections) in Ry/atom: -0.634

***

Record 2
Entry from Alexandria via LeMat-Bulk: crystalline Ho2ScIr3 at its relaxed geometry (PBE).

Lattice parameters (Å, degrees): 4.7361 4.7361 5.8321 90.00 90.00 120.00
Space group P-3m1 (No. 164)
One atom of each set of equivalent atoms:
Ho 0.3333 0.6667 0.1697 x2
Sc 0.0000 0.0000 0.5000 x1
Ir 0.0000 0.0000 0.0000 x1
Ir 0.3333 0.6667 0.6573 x2

Calculated values
ΔE_f in kJ per mole of atoms: -85
Total magnetization in μB/f.u.: 0.0
Total DFT energy (no corrections) in Ry/atom: -0.580

***

Record 3
Entry from Alexandria via LeMat-Bulk: crystalline Ho5ScIr6 at its relaxed geometry (PBE).

Lattice parameters (Å, degrees): 4.661 14.012 7.095 90.00 90.00 90.00
Space group Cmmm (No. 65)
One atom of each set of equivalent atoms:
Ho 0.000 0.000 0.000 x2
Ho 0.000 0.334 0.000 x4
Ho 0.000 0.335 0.500 x4
Sc 0.000 0.000 0.500 x2
Ir 0.000 0.164 0.254 x8
Ir 0.000 0.500 0.258 x4

Calculated values
ΔE_f in kJ per mole of atoms: -83
Total magnetization in μB/f.u.: 0.0
Total DFT energy (no corrections) in Ry/atom: -0.568